VASP calculation (PBE) on an optimized crystal structure of Ba3Ag5H12.

Results
Total magnetization in μB per formula unit: 0.00
Final energy in eV/atom: -3.0505

a = 11.4809 Å, b = 11.4809 Å, c = 11.4809 Å
α = 109.47°, β = 109.47°, γ = 109.47°
With the nearest neighbours (Å) after each atom.
Atoms (fractional coordinates):
Ba1 0.1250 0.2500 0.3750  8 H 2.62-2.80
Ba2 0.1250 0.3750 0.7500  8 H 2.62-2.80
Ba3 0.2500 0.3750 0.1250  8 H 2.62-2.80
Ba4 0.2500 0.8750 0.6250  8 H 2.62-2.80
Ba5 0.3750 0.1250 0.2500  8 H 2.62-2.80
Ba6 0.3750 0.7500 0.1250  8 H 2.62-2.80
Ba7 0.6250 0.2500 0.8750  8 H 2.62-2.80
Ba8 0.6250 0.8750 0.7500  8 H 2.62-2.80
Ba9 0.7500 0.1250 0.3750  8 H 2.62-2.80
Ba10 0.7500 0.6250 0.8750  8 H 2.62-2.80
Ba11 0.8750 0.6250 0.2500  8 H 2.62-2.80
Ba12 0.8750 0.7500 0.6250  8 H 2.62-2.80
Ag1 0.0000 0.0000 0.0000  6 H 2.05
Ag2 0.0000 0.0000 0.5000  6 H 2.05
Ag3 0.0000 0.5000 0.0000  6 H 2.05
Ag4 0.0000 0.5000 0.5000  6 H 2.05
Ag5 0.1250 0.7500 0.8750  4 H 1.92
Ag6 0.1250 0.8750 0.2500  4 H 1.92
Ag7 0.2500 0.1250 0.8750  4 H 1.92
Ag8 0.2500 0.6250 0.3750  4 H 1.92
Ag9 0.3750 0.2500 0.6250  4 H 1.92
Ag10 0.3750 0.6250 0.7500  4 H 1.92
Ag11 0.5000 0.0000 0.0000  6 H 2.05
Ag12 0.5000 0.0000 0.5000  6 H 2.05
Ag13 0.5000 0.5000 0.0000  6 H 2.05
Ag14 0.5000 0.5000 0.5000  6 H 2.05
Ag15 0.6250 0.3750 0.2500  4 H 1.92
Ag16 0.6250 0.7500 0.3750  4 H 1.92
Ag17 0.7500 0.3750 0.6250  4 H 1.92
Ag18 0.7500 0.8750 0.1250  4 H 1.92
Ag19 0.8750 0.1250 0.7500  4 H 1.92
Ag20 0.8750 0.2500 0.1250  4 H 1.92
H1 0.0064 0.1870 0.1076  2 Ag 1.92-2.05
H2 0.0064 0.3194 0.8988  2 Ag 1.92-2.05
H3 0.0794 0.6870 0.6806  2 Ag 1.92-2.05
H4 0.0794 0.8924 0.3988  2 Ag 1.92-2.05
H5 0.1012 0.6076 0.4206  2 Ag 1.92-2.05
H6 0.1012 0.9936 0.6806  2 Ag 1.92-2.05
H7 0.1076 0.0064 0.1870  2 Ag 1.92-2.05
H8 0.1076 0.6012 0.9206  2 Ag 1.92-2.05
H9 0.1806 0.1870 0.5794  2 Ag 1.92-2.05
H10 0.1806 0.4936 0.6012  2 Ag 1.92-2.05
H11 0.1870 0.1076 0.0064  2 Ag 1.92-2.05
H12 0.1870 0.5794 0.1806  2 Ag 1.92-2.05
H13 0.3130 0.3194 0.9206  2 Ag 1.92-2.05
H14 0.3130 0.4936 0.3924  2 Ag 1.92-2.05
H15 0.3194 0.8988 0.0064  2 Ag 1.92-2.05
H16 0.3194 0.9206 0.3130  2 Ag 1.92-2.05
H17 0.3924 0.3130 0.4936  2 Ag 1.92-2.05
H18 0.3924 0.5794 0.8988  2 Ag 1.92-2.05
H19 0.3988 0.0794 0.8924  2 Ag 1.92-2.05
H20 0.3988 0.8194 0.5064  2 Ag 1.92-2.05
H21 0.4206 0.1012 0.6076  2 Ag 1.92-2.05
H22 0.4206 0.8194 0.8130  2 Ag 1.92-2.05
H23 0.4936 0.3924 0.3130  2 Ag 1.92-2.05
H24 0.4936 0.6012 0.1806  2 Ag 1.92-2.05
H25 0.5064 0.3988 0.8194  2 Ag 1.92-2.05
H26 0.5064 0.6076 0.6870  2 Ag 1.92-2.05
H27 0.5794 0.1806 0.1870  2 Ag 1.92-2.05
H28 0.5794 0.8988 0.3924  2 Ag 1.92-2.05
H29 0.6012 0.1806 0.4936  2 Ag 1.92-2.05
H30 0.6012 0.9206 0.1076  2 Ag 1.92-2.05
H31 0.6076 0.4206 0.1012  2 Ag 1.92-2.05
H32 0.6076 0.6870 0.5064  2 Ag 1.92-2.05
H33 0.6806 0.0794 0.6870  2 Ag 1.92-2.05
H34 0.6806 0.1012 0.9936  2 Ag 1.92-2.05
H35 0.6870 0.5064 0.6076  2 Ag 1.92-2.05
H36 0.6870 0.6806 0.0794  2 Ag 1.92-2.05
H37 0.8130 0.4206 0.8194  2 Ag 1.92-2.05
H38 0.8130 0.8924 0.9936  2 Ag 1.92-2.05
H39 0.8194 0.5064 0.3988  2 Ag 1.92-2.05
H40 0.8194 0.8130 0.4206  2 Ag 1.92-2.05
H41 0.8924 0.3988 0.0794  2 Ag 1.92-2.05
H42 0.8924 0.9936 0.8130  2 Ag 1.92-2.05
H43 0.8988 0.0064 0.3194  2 Ag 1.92-2.05
H44 0.8988 0.3924 0.5794  2 Ag 1.92-2.05
H45 0.9206 0.1076 0.6012  2 Ag 1.92-2.05
H46 0.9206 0.3130 0.3194  2 Ag 1.92-2.05
H47 0.9936 0.6806 0.1012  2 Ag 1.92-2.05
H48 0.9936 0.8130 0.8924  2 Ag 1.92-2.05